# 1
Computed, not measured: a geometry-optimized GdMgZnPt structure at the PBE level of DFT.

The space group is F-43m (No. 216) and the conventional cell measures 6.8199, 6.8199 and 6.8199 Å, with angles of 90.00, 90.00 and 90.00 degrees. The asymmetric unit holds Gd at (0.0000, 0.0000, 0.0000), Mg at (0.0000, 0.0000, 0.5000), Zn at (0.2500, 0.2500, 0.7500) and Pt at (0.2500, 0.2500, 0.2500).

The calculated formation energy is -0.66 eV per atom.

---

# 2
Computed, not measured: a geometry-optimized DyHf4Zn5 structure at the PBE level of DFT.

The space group is P4/mmm (No. 123) and the conventional cell measures 3.3512, 3.3512 and 16.7653 Å, with angles of 90.00, 90.00 and 90.00 degrees. The asymmetric unit holds Dy at (0.0000, 0.0000, 0.0000), Hf at (0.0000, 0.0000, 0.2090), Hf at (0.0000, 0.0000, 0.4030), Zn at (0.5000, 0.5000, 0.1157), Zn at (0.5000, 0.5000, 0.3063) and Zn at (0.5000, 0.5000, 0.5000).

The calculated formation energy is -0.21 eV per atom.